First-principles (PBE-GGA) data for crystalline GdDyPu2 at its relaxed geometry, as listed in Alexandria via LeMat-Bulk.

abc: 3.9603 3.9603 7.4258
angles: 90.00 90.00 90.00
Sites, in units of the cell vectors:
Gd 0.0000 0.0000 0.0000
Dy 0.0000 0.0000 0.5000
Pu 0.5000 0.5000 0.2511
Pu 0.5000 0.5000 0.7489

Values from the calculation:
As for the calculated total energy: -46.3 eV/cell. The calculation puts the formation energy at 1.1 eV/f.u. As for the density of states at the Fermi level: 3.154 states/eV/atom. The value obtained for the total magnetic moment is 5.787 Bohr magnetons per cell. The mass density comes out at 11517 kg/m3.